No. 1
VASP calculation (PBE-GGA) on crystalline Cs2NaScSb2 at its relaxed geometry.

Results
- Energy relative to the elements, uncorrected: -0.667 eV/atom

Lattice parameters (Å, degrees): 7.515 7.376 10.204 111.19 111.61 90.00
Fractional coordinates of all 12 atoms:
Cs: 0.397 0.176 0.352
Cs: 0.603 0.824 0.648
Cs: 0.045 0.324 0.648
Cs: 0.955 0.676 0.352
Na: 0.000 0.750 0.000
Na: 0.000 0.250 0.000
Sc: 0.500 0.750 0.000
Sc: 0.500 0.250 0.000
Sb: 0.804 0.090 0.180
Sb: 0.377 0.590 0.180
Sb: 0.623 0.410 0.820
Sb: 0.196 0.910 0.820

=====

No. 2
VASP calculation (PBE-GGA) on crystalline CsNaSi2Sb at its relaxed geometry.

Results
- Energy relative to the elements, uncorrected: 0.886 eV/atom

Lattice parameters (Å, degrees): 5.422 5.585 5.422 90.00 90.00 90.00
Fractional coordinates of all 5 atoms:
Cs: 0.500 0.500 0.500
Sb: 0.000 0.500 0.000
Si: 0.000 0.000 0.500
Si: 0.500 0.000 0.000
Na: 0.000 0.000 0.000